A plane-wave DFT calculation with PBE-GGA was carried out for an optimized crystal structure of ZrCdGaFe. Values from VASP.

The structure in Quantum ESPRESSO input format:
```
&SYSTEM
  ibrav = 0, nat = 4, ntyp = 4
/
ATOMIC_SPECIES
Zr 91.22 Zr.upf
Cd 112.41 Cd.upf
Ga 69.72 Ga.upf
Fe 55.84 Fe.upf
CELL_PARAMETERS angstrom
0.0000 3.2516 3.2516
3.2516 0.0000 3.2516
3.2516 3.2516 0.0000
ATOMIC_POSITIONS angstrom
Zr 0.0000 0.0000 0.0000
Cd 1.6258 1.6258 1.6258
Ga 3.2516 3.2516 3.2516
Fe 4.8773 4.8773 4.8773
```

Values from the calculation:
M_tot   1.4 μB/f.u.
Crystal system   cubic
Total DFT energy (no corrections)   -20.60 eV/f.u.
Mass density   7.951 g cm⁻³
Space-group type   F-43m (216)